Compound: Eu3Pb5F12
Source: the Alexandria database
Functional: PBE-GGA
Structure: relaxed

The calculation puts the calculated volume at 20.870 Å³ per atom. The calculation puts the total moment at 1.01 μB/atom. The calculation puts the raw formation energy at -2.4478 eV per atom.

CIF file:
```
data_Eu3Pb5F12
_space_group_name_H-M_alt 'P 1'
_space_group_IT_number 1
_space_group_name_Hall 'P 1'
_cell_length_a 12.944
_cell_length_b 12.944
_cell_length_c 12.944
_cell_angle_alpha 109.47
_cell_angle_beta 109.47
_cell_angle_gamma 109.47
loop_
_atom_site_label
_atom_site_fract_x
_atom_site_fract_y
_atom_site_fract_z
Eu1 0.125 0.250 0.375
Eu2 0.125 0.375 0.750
Eu3 0.250 0.375 0.125
Eu4 0.250 0.875 0.625
Eu5 0.375 0.125 0.250
Eu6 0.375 0.750 0.125
Eu7 0.625 0.250 0.875
Eu8 0.625 0.875 0.750
Eu9 0.750 0.125 0.375
Eu10 0.750 0.625 0.875
Eu11 0.875 0.625 0.250
Eu12 0.875 0.750 0.625
Pb1 0.000 0.000 0.000
Pb2 0.000 0.000 0.500
Pb3 0.000 0.500 0.000
Pb4 0.000 0.500 0.500
Pb5 0.125 0.750 0.875
Pb6 0.125 0.875 0.250
Pb7 0.250 0.125 0.875
Pb8 0.250 0.625 0.375
Pb9 0.375 0.250 0.625
Pb10 0.375 0.625 0.750
Pb11 0.500 0.000 0.000
Pb12 0.500 0.000 0.500
Pb13 0.500 0.500 0.000
Pb14 0.500 0.500 0.500
Pb15 0.625 0.375 0.250
Pb16 0.625 0.750 0.375
Pb17 0.750 0.375 0.625
Pb18 0.750 0.875 0.125
Pb19 0.875 0.125 0.750
Pb20 0.875 0.250 0.125
F1 0.057 0.722 0.657
F2 0.057 0.835 0.400
F3 0.065 0.222 0.165
F4 0.065 0.343 0.900
F5 0.100 0.665 0.443
F6 0.100 0.935 0.657
F7 0.157 0.222 0.557
F8 0.157 0.435 0.600
F9 0.165 0.065 0.222
F10 0.165 0.600 0.943
F11 0.222 0.165 0.065
F12 0.222 0.557 0.157
F13 0.278 0.343 0.943
F14 0.278 0.435 0.335
F15 0.335 0.278 0.435
F16 0.335 0.557 0.900
F17 0.343 0.900 0.065
F18 0.343 0.943 0.278
F19 0.400 0.057 0.835
F20 0.400 0.843 0.565
F21 0.435 0.335 0.278
F22 0.435 0.600 0.157
F23 0.443 0.100 0.665
F24 0.443 0.843 0.778
F25 0.557 0.157 0.222
F26 0.557 0.900 0.335
F27 0.565 0.400 0.843
F28 0.565 0.665 0.722
F29 0.600 0.157 0.435
F30 0.600 0.943 0.165
F31 0.657 0.057 0.722
F32 0.657 0.100 0.935
F33 0.665 0.443 0.100
F34 0.665 0.722 0.565
F35 0.722 0.565 0.665
F36 0.722 0.657 0.057
F37 0.778 0.443 0.843
F38 0.778 0.835 0.935
F39 0.835 0.400 0.057
F40 0.835 0.935 0.778
F41 0.843 0.565 0.400
F42 0.843 0.778 0.443
F43 0.900 0.065 0.343
F44 0.900 0.335 0.557
F45 0.935 0.657 0.100
F46 0.935 0.778 0.835
F47 0.943 0.165 0.600
F48 0.943 0.278 0.343
```